No. 1
# Sc2TcSnB (PBE-GGA, relaxed)
data_Sc2TcSnB
_cell_length_a 4.6393
_cell_length_b 4.6393
_cell_length_c 4.1245
_cell_angle_alpha 90.00
_cell_angle_beta 90.00
_cell_angle_gamma 90.00
_symmetry_space_group_name_H-M 'P 4/m m m'
_symmetry_Int_Tables_number 123
_symmetry_space_group_name_Hall '-P 4 2'
loop_
_atom_site_label
_atom_site_fract_x
_atom_site_fract_y
_atom_site_fract_z
Sc1 0.0000 0.5000 0.0000
Tc1 0.0000 0.0000 0.5000
Sn1 0.5000 0.5000 0.5000
B1 0.0000 0.0000 0.0000
# DFT formation energy in eV per atom: -0.46
# Spin magnetization in μB/atom: 0.0000
# Uncorrected energy in eV for the cell shown: -36.02


No. 2
# PbAu (PBE-GGA, relaxed)
data_PbAu
_cell_length_a 13.6470
_cell_length_b 3.9775
_cell_length_c 6.2258
_cell_angle_alpha 90.00
_cell_angle_beta 116.89
_cell_angle_gamma 90.00
_symmetry_space_group_name_H-M 'C 1 m 1'
_symmetry_Int_Tables_number 8
loop_
_symmetry_equiv_pos_as_xyz
'x,y,z'
'x,-y,z'
'x+1/2,y+1/2,z'
'x+1/2,-y+1/2,z'
loop_
_atom_site_label
_atom_site_fract_x
_atom_site_fract_y
_atom_site_fract_z
Pb1 0.0000 0.0000 0.0000
Pb2 0.1117 0.5000 0.6105
Pb3 0.3071 0.0000 0.0792
Au1 0.1795 0.5000 0.2174
Au2 0.3038 0.0000 0.6004
Au3 0.4313 0.5000 0.4732
# DFT formation energy in eV per atom: -0.05
# Spin magnetization in μB/atom: 0.0000
# Uncorrected energy in eV for the cell shown: -42.48


No. 3
# PmErO3 (PBE-GGA, relaxed)
data_PmErO3
_cell_length_a 5.8695
_cell_length_b 12.8724
_cell_length_c 4.1010
_cell_angle_alpha 90.00
_cell_angle_beta 90.00
_cell_angle_gamma 90.00
_symmetry_space_group_name_H-M 'C m m m'
_symmetry_Int_Tables_number 65
_symmetry_space_group_name_Hall '-C 2 2'
loop_
_atom_site_label
_atom_site_fract_x
_atom_site_fract_y
_atom_site_fract_z
Pm1 0.0000 0.1628 0.0000
Er1 0.0000 0.3812 0.5000
O1 0.0000 0.3335 0.0000
O2 0.2321 0.0000 0.5000
O3 0.2500 0.2500 0.5000
# Spin magnetization in μB/atom: 0.0000
# Formation energy without anion corrections in kJ/mol of atoms: -292.7
# Uncorrected energy in eV for the cell shown: -157.42


No. 4
# Mn2PPtN (PBE-GGA, relaxed)
data_Mn2PPtN
_cell_length_a 5.0338
_cell_length_b 5.0338
_cell_length_c 4.3162
_cell_angle_alpha 90.00
_cell_angle_beta 90.00
_cell_angle_gamma 90.00
_symmetry_space_group_name_H-M 'P 4/m m m'
_symmetry_Int_Tables_number 123
_symmetry_space_group_name_Hall '-P 4 2'
loop_
_atom_site_label
_atom_site_fract_x
_atom_site_fract_y
_atom_site_fract_z
Mn1 0.0000 0.5000 0.0000
P1 0.0000 0.0000 0.5000
Pt1 0.0000 0.0000 0.0000
N1 0.5000 0.5000 0.5000
# Spin magnetization in μB/atom: 1.5909
# Formation energy without anion corrections in kJ/mol of atoms: 130.7
# Uncorrected energy in eV for the cell shown: -31.34